## Ba3SmMn2O6 (GGA+U)

Data for crystalline Ba3SmMn2O6 at its relaxed geometry.

Computed properties:
DOS(E_F): 1.831 states/eV per cell
calculated total energy: -81.598 eV for the cell shown

a = 6.2651 Å, b = 6.2651 Å, c = 7.1081 Å
α = 90.00°, β = 90.00°, γ = 120.00°
Closest atoms and distances in Å follow each position.
Space group P-3m1 (No. 164)
One atom of each set of equivalent atoms:
Ba 0.0000 0.0000 0.0000 [1 per cell]  6 O 2.84
Ba 0.3333 0.6667 0.6281 [2 per cell]  9 O 2.91-3.17, 1 Mn 3.23
Sm 0.0000 0.0000 0.5000 [1 per cell]  6 O 2.31
Mn 0.3333 0.6667 0.1741 [2 per cell]  3 O 2.00
O 0.1697 0.3394 0.3035 [6 per cell]  1 Mn 2.00